# 1
Below is a relaxed structure of Mg7Nb, with properties calculated at the PBE level.

Results
* total moment: 0.00 μB/atom
* energy above the lowest structure with this stoichiometry: 29 kJ/mol of formula units
* uncorrected energy: -2.5082 eV/atom

Lattice parameters (Å, degrees): 6.3176 6.3176 4.9622 90.00 90.00 120.00
With the nearest neighbours (Å) after each atom.
Fractional coordinates of all 8 atoms:
Mg 0.4986 0.9972 0.5000  10 Mg 3.09-3.19, 2 Nb 3.16
Mg 0.0028 0.5014 0.5000  10 Mg 3.09-3.19, 2 Nb 3.16
Mg 0.4986 0.5014 0.5000  10 Mg 3.09-3.19, 2 Nb 3.16
Mg 0.1588 0.8412 0.0000  10 Mg 3.01-3.31, 2 Nb 3.03
Mg 0.6824 0.8412 0.0000  10 Mg 3.01-3.31, 2 Nb 3.03
Mg 0.1588 0.3176 0.0000  10 Mg 3.01-3.31, 2 Nb 3.03
Mg 0.6667 0.3333 0.0000  12 Mg 3.09-3.16
Nb 0.0000 0.0000 0.5000  12 Mg 3.03-3.16


# 2
Below is a relaxed structure of RbTlCr2In, with properties calculated at the PBE level.

Results
* total moment: 1.90 μB/atom
* uncorrected energy: -4.1948 eV/atom

Lattice parameters (Å, degrees): 5.4877 5.4877 5.8944 90.00 90.00 90.00
With the nearest neighbours (Å) after each atom.
Fractional coordinates of all 5 atoms:
Cr 0.0000 0.5000 0.0000  2 In 2.74
Cr 0.5000 0.0000 0.0000  2 In 2.74
Tl 0.0000 0.0000 0.5000  2 In 2.95
Rb 0.5000 0.5000 0.5000  4 Tl 3.88, 8 Cr 4.03
In 0.0000 0.0000 0.0000  4 Cr 2.74, 2 Tl 2.95


# 3
Below is a relaxed structure of LaNd2Er3, with properties calculated at the PBE level.

Results
* total moment: 0.00 μB/atom
* energy above the lowest structure with this stoichiometry: 0 kJ/mol of formula units
* uncorrected energy: -4.6637 eV/atom

Lattice parameters (Å, degrees): 5.1071 8.0722 11.3947 115.13 90.00 108.44
With the nearest neighbours (Å) after each atom.
Fractional coordinates of all 12 atoms:
La 0.8741 0.7483 0.8704  7 Nd 3.61-3.67, 4 Er 3.62-3.64, 1 La 3.66
La 0.1259 0.2517 0.1296  7 Nd 3.61-3.67, 4 Er 3.62-3.64, 1 La 3.66
Nd 0.5411 0.0821 0.8705  4 Nd 3.59-3.69, 4 Er 3.61-3.64, 4 La 3.61-3.67
Nd 0.4589 0.9179 0.1295  4 Nd 3.59-3.69, 4 Er 3.61-3.64, 4 La 3.61-3.67
Nd 0.7949 0.5897 0.1308  5 Nd 3.59-3.69, 4 Er 3.59-3.63, 3 La 3.63-3.67
Nd 0.2051 0.4103 0.8692  5 Nd 3.59-3.69, 4 Er 3.59-3.63, 3 La 3.63-3.67
Er 0.2888 0.5776 0.6173  8 Er 3.50-3.62, 2 La 3.63, 2 Nd 3.63-3.64
Er 0.9569 0.9138 0.6187  8 Er 3.50-3.62, 3 Nd 3.59-3.62, 1 La 3.62
Er 0.6223 0.2445 0.6180  8 Er 3.50-3.61, 3 Nd 3.61-3.62, 1 La 3.64
Er 0.3777 0.7555 0.3820  8 Er 3.50-3.61, 3 Nd 3.61-3.62, 1 La 3.64
Er 0.0431 0.0862 0.3813  8 Er 3.50-3.62, 3 Nd 3.59-3.62, 1 La 3.62
Er 0.7112 0.4224 0.3827  8 Er 3.50-3.62, 2 La 3.63, 2 Nd 3.63-3.64


# 4
Below is a relaxed structure of TePAu2, with properties calculated at the PBE level.

Results
* total moment: 0.00 μB/atom
* energy above the lowest structure with this stoichiometry: 42 kJ/mol of formula units
* formation energy from raw total energies: 0.17 eV/atom
* uncorrected energy: -3.6081 eV/atom

Lattice parameters (Å, degrees): 3.8506 4.8781 4.8817 67.74 90.00 90.00
With the nearest neighbours (Å) after each atom.
Fractional coordinates of all 4 atoms:
Te 0.5000 0.2621 0.2621  4 Au 2.73-2.90, 2 P 2.79
P 0.0000 0.5107 0.5110  4 Au 2.64-2.73, 2 Te 2.79
Au 0.0000 0.9944 0.9938  2 P 2.72-2.73, 2 Au 2.86, 2 Te 2.90
Au 0.5000 0.7328 0.7331  2 P 2.64, 2 Te 2.73, 2 Au 2.86